1.
Density functional theory data (PBE) for a geometry-optimized HoErScCd structure.

Cell and atoms, written as POSCAR:
```
HoErScCd
1.0
3.5326 0.0000 0.0000
0.0000 3.5326 0.0000
0.0000 0.0000 8.6146
Cd Sc Ho Er
1 1 1 1
direct
0.0000 0.0000 0.5699
0.0000 0.0000 0.0721
0.5000 0.5000 0.8135
0.5000 0.5000 0.3293
```

- Final energy: -4.23 eV/atom
- DOS at the Fermi energy: 5.31 states/eV/cell
- Formation energy: -0.13 eV per atom

***

2.
Density functional theory data (PBE) for a geometry-optimized SmHoErCd structure.

Cell and atoms, written as POSCAR:
```
SmHoErCd
1.0
-2.0024 1.6738 4.7879
2.5829 -1.2734 4.6306
2.5877 3.8748 2.8329
Ho Sm Cd Er
1 1 1 1
direct
0.2500 0.2500 0.2500
0.0000 0.0000 0.0000
0.7500 0.7500 0.7500
0.5000 0.5000 0.5000
```

- Final energy: -3.71 eV/atom
- DOS at the Fermi energy: 5.24 states/eV/cell
- Formation energy: -0.02 eV per atom

***

3.
Density functional theory data (PBE) for a geometry-optimized SmHoErCd structure.

Cell and atoms, written as POSCAR:
```
SmHoErCd
1.0
-1.9888 -2.9513 -0.4734
0.5136 0.2228 -3.5463
7.4020 -5.1086 0.7510
Cd Ho Er Sm
1 1 1 1
direct
0.0000 0.0000 0.5700
0.5000 0.5000 0.7947
0.5000 0.5000 0.3481
0.0000 0.0000 0.0719
```

- Final energy: -3.84 eV/atom
- DOS at the Fermi energy: 4.12 states/eV/cell
- Formation energy: -0.15 eV per atom

***

4.
Density functional theory data (PBE) for a geometry-optimized HoEr2Tl2Cd2 structure.

Cell and atoms, written as POSCAR:
```
HoEr2Tl2Cd2
1.0
-3.7393 -2.8125 1.7833
-2.8108 -2.7087 -3.1360
3.2139 -8.4588 0.4281
Ho Cd Tl Er
1 2 2 2
direct
0.0000 0.0000 0.0000
0.4307 0.4307 0.7079
0.5693 0.5693 0.2921
0.7294 0.7294 0.8117
0.2706 0.2706 0.1883
0.8664 0.8664 0.4007
0.1336 0.1336 0.5993
```

- Final energy: -3.01 eV/atom
- DOS at the Fermi energy: 4.65 states/eV/cell
- Formation energy: -0.11 eV per atom